Below is crystalline Pr2HoMoO6 at its relaxed geometry, with properties calculated at the PBE+U level.

Values from the calculation:
**DFT total energy**: -161.50 eV per cell

POSCAR file:
```
Pr2HoMoO6
1.0
-5.4378 1.6991 0.8568
0.7254 -0.6744 5.9417
2.6421 7.8844 0.5728
O Pr Ho Mo
12 4 2 2
direct
0.1989 0.1951 0.4335 O
0.3009 0.6953 0.0668 O
0.6257 0.0550 0.2553 O
0.6991 0.3047 0.9332 O
0.1257 0.4450 0.7553 O
0.3743 0.9450 0.7447 O
0.8011 0.8049 0.5665 O
0.3112 0.6995 0.4353 O
0.8743 0.5550 0.2447 O
0.6888 0.3005 0.5647 O
0.1891 0.1998 0.0650 O
0.8109 0.8002 0.9350 O
0.5189 0.5570 0.7490 Pr
0.0189 0.9430 0.2492 Pr
0.9811 0.0570 0.7508 Pr
0.4811 0.4430 0.2510 Pr
0.0000 0.5000 0.5000 Ho
0.5000 0.0000 0.0000 Ho
0.5000 0.0000 0.5000 Mo
0.0000 0.5000 0.0000 Mo
```